Computed, not measured: a geometry-optimized MgCdRh2 structure at the PBE-GGA level of DFT.

Unit cell a=6.3979 b=6.3979 c=6.3979 alpha=90.00 beta=90.00 gamma=90.00
Space group F-43m (No. 216)
Asymmetric unit:
Mg1 0.0000 0.0000 0.0000
Cd1 0.2500 0.2500 0.2500
Rh1 0.0000 0.0000 0.5000
Rh2 0.2500 0.2500 0.7500

## Properties
**D(E_F)**: 4.760 states/eV/f.u.
**Calculated density**: 8.69 g/cm³
**Calculated total energy**: -0.16241 Ha/atom


Computed, not measured: a geometry-optimized AlP2 structure at the PBE-GGA level of DFT.

Unit cell a=3.2962 b=3.2971 c=22.0027 alpha=90.00 beta=90.00 gamma=90.00
Space group Imma (No. 74)
Asymmetric unit:
Al1 0.0000 0.2500 0.1245
P1 0.0000 0.2500 0.5738
P2 0.0000 0.2500 0.6754

## Properties
**D(E_F)**: 0.626 states/eV/f.u.
**Calculated density**: 2.47 g/cm³
**Calculated total energy**: -0.17525 Ha/atom


Computed, not measured: a geometry-optimized BePAu structure at the PBE-GGA level of DFT.

Unit cell a=4.4455 b=3.7278 c=6.4240 alpha=90.00 beta=90.00 gamma=90.00
Space group Pmc2_1 (No. 26)
Asymmetric unit:
Be1 0.0000 0.2391 0.0000
P1 0.0000 0.2730 0.6704
Au1 0.5000 0.0684 0.5906

## Properties
**D(E_F)**: 0.269 states/eV/f.u.
**Calculated density**: 7.39 g/cm³
**Calculated total energy**: -0.15622 Ha/atom


Computed, not measured: a geometry-optimized TaAlTeMo2 structure at the PBE-GGA level of DFT.

Unit cell a=4.8632 b=4.8632 c=4.8429 alpha=90.00 beta=90.00 gamma=90.00
Space group P4/mmm (No. 123)
Asymmetric unit:
Ta1 0.0000 0.0000 0.0000
Al1 0.5000 0.5000 0.0000
Te1 0.5000 0.5000 0.5000
Mo1 0.0000 0.5000 0.5000

## Properties
**D(E_F)**: 5.220 states/eV/f.u.
**Calculated density**: 7.65 g/cm³
**Calculated total energy**: -0.22483 Ha/atom


Computed, not measured: a geometry-optimized TbGdMgRh structure at the PBE-GGA level of DFT.

Unit cell a=7.1940 b=7.1940 c=7.1940 alpha=90.00 beta=90.00 gamma=90.00
Space group F-43m (No. 216)
Asymmetric unit:
Tb1 0.0000 0.0000 0.0000
Gd1 0.0000 0.0000 0.5000
Mg1 0.2500 0.2500 0.2500
Rh1 0.2500 0.2500 0.7500

## Properties
**D(E_F)**: 1.885 states/eV/f.u.
**Calculated density**: 7.91 g/cm³
**Calculated total energy**: -0.26827 Ha/atom


Computed, not measured: a geometry-optimized BeFeIr2 structure at the PBE-GGA level of DFT.

Unit cell a=2.7146 b=3.7018 c=5.1909 alpha=90.00 beta=102.83 gamma=90.00
Space group P2/m (No. 10)
Asymmetric unit:
Be1 0.0000 0.0000 0.0000
Fe1 0.0000 0.0000 0.5000
Ir1 0.3693 0.5000 0.2315

## Properties
**D(E_F)**: 3.205 states/eV/f.u.
**Calculated density**: 14.67 g/cm³
**Calculated total energy**: -0.28081 Ha/atom


Computed, not measured: a geometry-optimized TbEr2Cd structure at the PBE-GGA level of DFT.

Unit cell a=3.5441 b=3.5441 c=32.1651 alpha=90.00 beta=90.00 gamma=120.00
Space group R-3m (No. 166, hexagonal axes)
Asymmetric unit:
Tb1 0.0000 0.0000 0.0000
Er1 0.0000 0.0000 0.2444
Cd1 0.0000 0.0000 0.5000

## Properties
**D(E_F)**: 4.057 states/eV/f.u.
**Distance to the lowest polymorph of the same formula**: 0.072 eV/atom
**Calculated density**: 8.63 g/cm³


Computed, not measured: a geometry-optimized Na2CaIn9 structure at the PBE-GGA level of DFT.

Unit cell a=4.7303 b=4.7303 c=14.2094 alpha=90.00 beta=90.00 gamma=90.00
Space group P4/mmm (No. 123)
Asymmetric unit:
Na1 0.0000 0.0000 0.1670
Ca1 0.0000 0.0000 0.5000
In1 0.0000 0.5000 0.0000
In2 0.0000 0.5000 0.3314
In3 0.5000 0.5000 0.1706
In4 0.5000 0.5000 0.5000

## Properties
**D(E_F)**: 8.082 states/eV/f.u.
**Distance to the lowest polymorph of the same formula**: 0.000 eV/atom
**Calculated density**: 5.85 g/cm³